First-principles (PBE) data for crystalline AcPuAs at its relaxed geometry, as listed in Alexandria via LeMat-Bulk.

Lattice parameters (Å, degrees): 5.1440 5.1440 5.1440 60.00 60.00 60.00
Site moments in Bohr magnetons follow the coordinates.
Atoms (fractional coordinates):
As1 0.2500 0.2500 0.2500  -0.06
Pu1 0.0000 0.0000 0.0000  5.78
Ac1 0.5000 0.5000 0.5000  0.28

Output
Relative energy among the computed polymorphs, eV per atom: 0.069
V, Å³/atom: 32.082
Total moment, μB per atom: 2.307